Entry 1:
The following is a DFT calculation (GGA-PBE) of a relaxed structure of NaMgMnH2.

a b c (Å): 3.8584 3.8584 5.7339
angles (deg): 90.00 90.00 90.00
Element x y z (fractional)
Na 0.0000 0.0000 0.0000
Mg 0.5000 0.5000 0.0000
Mn 0.0000 0.0000 0.5000
H 0.0000 0.5000 0.5000
H 0.5000 0.0000 0.5000

## Properties
DFT total energy	-15.50	eV per formula unit

***

Entry 2:
The following is a DFT calculation (GGA-PBE) of a relaxed structure of Pu2AlSn.

a b c (Å): 10.8167 10.8167 10.8167
angles (deg): 17.35 17.35 17.35
Element x y z (fractional)
Pu 0.2463 0.2463 0.2463
Pu 0.7537 0.7537 0.7537
Al 0.5000 0.5000 0.5000
Sn 0.0000 0.0000 0.0000

## Properties
energy of formation from the pure elements	-0.010	eV/atom

***

Entry 3:
The following is a DFT calculation (GGA-PBE) of a relaxed structure of AcEuTl2.

a b c (Å): 4.0584 4.0584 8.1366
angles (deg): 90.00 90.00 90.00
Element x y z (fractional)
Ac 0.0000 0.0000 0.0000
Eu 0.0000 0.0000 0.5000
Tl 0.5000 0.5000 0.2620
Tl 0.5000 0.5000 0.7380

## Properties
energy of formation from the pure elements	-0.394	eV/atom

***

Entry 4:
The following is a DFT calculation (GGA-PBE) of a relaxed structure of Ac12GaCo5.

a b c (Å): 7.4306 7.4306 13.7552
angles (deg): 95.11 95.11 119.97
Element x y z (fractional)
Ac 0.0410 0.4035 0.1205
Ac 0.1277 0.1277 0.3848
Ac 0.2034 0.5357 0.6112
Ac 0.3228 0.3228 0.8793
Ac 0.4035 0.0410 0.1205
Ac 0.4643 0.7966 0.3888
Ac 0.5357 0.2034 0.6112
Ac 0.5965 0.9590 0.8795
Ac 0.6772 0.6772 0.1207
Ac 0.7966 0.4643 0.3888
Ac 0.8723 0.8723 0.6152
Ac 0.9590 0.5965 0.8795
Ga 0.0000 0.0000 0.0000
Co 0.1666 0.8334 0.5000
Co 0.3333 0.6667 0.0000
Co 0.5000 0.5000 0.5000
Co 0.6667 0.3333 0.0000
Co 0.8334 0.1666 0.5000

## Properties
energy of formation from the pure elements	-0.027	eV/atom

***

Entry 5:
The following is a DFT calculation (GGA-PBE) of a relaxed structure of NiGeI2N.

a b c (Å): 5.7790 5.7790 3.5206
angles (deg): 90.00 90.00 90.00
Element x y z (fractional)
Ni 0.0000 0.0000 0.0000
Ge 0.5000 0.5000 0.5000
I 0.0000 0.5000 0.5000
I 0.5000 0.0000 0.5000
N 0.5000 0.5000 0.0000

## Properties
ΔE_f (raw)	0.956	eV per atom
ΔE to the lowest computed polymorph	0.339	eV/atom

***

Entry 6:
The following is a DFT calculation (GGA-PBE) of a relaxed structure of PrSmTe.

a b c (Å): 6.5977 6.5977 6.5977
angles (deg): 144.73 144.73 50.74
Element x y z (fractional)
Pr 0.0000 0.0000 0.0000
Sm 0.6956 0.6956 0.0000
Te 0.3393 0.3393 0.0000

## Properties
ΔE_f (raw)	-0.783	eV per atom
ΔE to the lowest computed polymorph	0.083	eV/atom

***

Entry 7:
The following is a DFT calculation (GGA-PBE) of a relaxed structure of SrPm2Zr.

a b c (Å): 12.7543 12.7543 12.7543
angles (deg): 16.02 16.02 16.02
Element x y z (fractional)
Sr 0.0000 0.0000 0.0000
Pm 0.0966 0.0966 0.0966
Pm 0.9034 0.9034 0.9034
Zr 0.5000 0.5000 0.5000

## Properties
energy of formation from the pure elements	0.277	eV/atom
ΔE to the lowest computed polymorph	0.113	eV/atom

***

Entry 8:
The following is a DFT calculation (GGA-PBE) of a relaxed structure of MgHg2P.

a b c (Å): 7.2816 7.2816 7.2816
angles (deg): 30.88 30.88 30.88
Element x y z (fractional)
Mg 0.0000 0.0000 0.0000
Hg 0.2421 0.2421 0.2421
Hg 0.7579 0.7579 0.7579
P 0.5000 0.5000 0.5000

## Properties
energy of formation from the pure elements	0.122	eV/atom

***

Entry 9:
The following is a DFT calculation (GGA-PBE) of a relaxed structure of PrGa9Ni2.

a b c (Å): 8.0022 8.0022 3.8507
angles (deg): 90.00 90.00 120.00
Element x y z (fractional)
Pr 0.0000 0.0000 0.0000
Ga 0.0000 0.5000 0.0000
Ga 0.2048 0.4096 0.5000
Ga 0.2048 0.7952 0.5000
Ga 0.4096 0.2048 0.5000
Ga 0.5000 0.0000 0.0000
Ga 0.5000 0.5000 0.0000
Ga 0.5904 0.7952 0.5000
Ga 0.7952 0.2048 0.5000
Ga 0.7952 0.5904 0.5000
Ni 0.3333 0.6667 0.0000
Ni 0.6667 0.3333 0.0000

## Properties
energy of formation from the pure elements	-0.280	eV/atom
ΔE to the lowest computed polymorph	0.000	eV/atom

***

Entry 10:
The following is a DFT calculation (GGA-PBE) of a relaxed structure of Ca6PtAu2N.

a b c (Å): 6.8535 7.5440 11.9031
angles (deg): 90.00 122.79 90.00
Element x y z (fractional)
Ca 0.1160 0.0312 0.2320
Ca 0.1160 0.4688 0.7320
Ca 0.2171 0.7106 0.0560
Ca 0.2171 0.7894 0.5560
Ca 0.3468 0.1712 0.0496
Ca 0.3468 0.3288 0.5496
Ca 0.6532 0.6712 0.4504
Ca 0.6532 0.8288 0.9504
Ca 0.7829 0.2106 0.4440
Ca 0.7829 0.2894 0.9440
Ca 0.8840 0.5312 0.2680
Ca 0.8840 0.9688 0.7680
Pt 0.5000 0.0000 0.5000
Pt 0.5000 0.5000 0.0000
Au 0.2957 0.0924 0.7547
Au 0.2957 0.4076 0.2547
Au 0.7043 0.5924 0.7453
Au 0.7043 0.9076 0.2453
N 0.0000 0.0000 0.0000
N 0.0000 0.5000 0.5000

## Properties
ΔE_f (raw)	-0.733	eV per atom

***

Entry 11:
The following is a DFT calculation (GGA-PBE) of a relaxed structure of KS.

a b c (Å): 6.4224 6.5229 11.2216
angles (deg): 90.00 90.00 90.00
Element x y z (fractional)
K 0.0476 0.1036 0.1328
K 0.0476 0.3964 0.6328
K 0.4524 0.6036 0.1328
K 0.4524 0.8964 0.6328
K 0.5476 0.1036 0.3672
K 0.5476 0.3964 0.8672
K 0.9524 0.6036 0.3672
K 0.9524 0.8964 0.8672
S 0.0411 0.0774 0.4197
S 0.0411 0.4226 0.9197
S 0.4589 0.5774 0.4197
S 0.4589 0.9226 0.9197
S 0.5411 0.0774 0.0803
S 0.5411 0.4226 0.5803
S 0.9589 0.5774 0.0803
S 0.9589 0.9226 0.5803

## Properties
ΔE_f (raw)	-0.880	eV per atom

***

Entry 12:
The following is a DFT calculation (GGA-PBE) of a relaxed structure of AcPrSbO.

a b c (Å): 4.6485 4.6485 10.3472
angles (deg): 90.00 90.00 90.00
Element x y z (fractional)
Ac 0.2500 0.2500 0.1036
Ac 0.7500 0.7500 0.8964
Pr 0.2500 0.7500 0.5000
Pr 0.7500 0.2500 0.5000
Sb 0.2500 0.2500 0.7131
Sb 0.7500 0.7500 0.2869
O 0.2500 0.7500 0.0000
O 0.7500 0.2500 0.0000

## Properties
ΔE_f (raw)	-1.827	eV per atom

***

no.,magnetization (μB/f.u.)
1,3.96
2,11.40
3,7.15
4,0.00
5,1.03
6,0.00
7,0.00
8,0.00
9,0.00
10,0.00
11,0.00
12,0.74